1.
A relaxed structure of Sc2Al3Au, computed with PBE-GGA.

Computed properties:
Energy of formation from the pure elements ... -594 meV per atom
Crystal system ... orthorhombic
M_tot ... 0.00 μB/cell

Unit cell a=3.228 b=4.465 c=7.746 alpha=90.00 beta=90.00 gamma=90.00
Fractional coordinates of all 6 atoms:
Sc 0.000 0.500 0.996
Sc 0.000 0.000 0.503
Al 0.500 0.000 0.835
Al 0.500 0.000 0.168
Al 0.500 0.500 0.665
Au 0.500 0.500 0.333

---

2.
A relaxed structure of ZnFe3Cl, computed with PBE-GGA.

Computed properties:
E_form (uncorrected) ... 1.21 eV per atom
Polymorph energy (0 for the lowest one) ... 503.9 meV per atom
Crystal system ... cubic
M_tot ... 8.76 μB/cell

Unit cell a=4.555 b=4.555 c=4.555 alpha=90.00 beta=90.00 gamma=90.00
Each line ends with the local moment (μB).
Fractional coordinates of all 5 atoms:
Zn 0.000 0.000 0.000  -0.11
Fe 0.000 0.500 0.000  3.00
Fe 0.000 0.000 0.500  3.00
Fe 0.500 0.000 0.000  2.63
Cl 0.500 0.500 0.500  0.12

---

3.
A relaxed structure of HoMn2BC, computed with PBE-GGA.

Computed properties:
Energy of formation from the pure elements ... -380 meV per atom
Crystal system ... orthorhombic
M_tot ... 0.21 μB/cell

Unit cell a=3.515 b=5.237 c=6.686 alpha=90.00 beta=90.00 gamma=109.61
Each line ends with the local moment (μB).
Fractional coordinates of all 10 atoms:
Ho 0.460 0.920 0.750  0.00
Ho 0.540 0.080 0.250  0.00
Mn 0.183 0.365 0.939  0.06
Mn 0.817 0.635 0.061  0.06
Mn 0.183 0.365 0.561  0.06
Mn 0.817 0.635 0.439  0.06
B 0.735 0.470 0.750  0.00
B 0.265 0.530 0.250  0.00
C 0.000 0.000 0.000  0.00
C 0.000 0.000 0.500  0.00

---

4.
A relaxed structure of Th2HgAs, computed with PBE-GGA.

Computed properties:
Energy of formation from the pure elements ... -663 meV per atom
Polymorph energy (0 for the lowest one) ... 37.5 meV per atom
Crystal system ... trigonal
M_tot ... 0.00 μB/cell

Unit cell a=4.053 b=4.053 c=8.548 alpha=76.29 beta=76.29 gamma=60.00
Fractional coordinates of all 4 atoms:
Th 0.072 0.072 0.783
Th 0.261 0.261 0.217
Hg 0.499 0.499 0.502
As 0.667 0.667 0.998

---

5.
A relaxed structure of UTl2AsSe5, computed with PBE-GGA.

Computed properties:
E_form (uncorrected) ... -0.55 eV per atom
Crystal system ... orthorhombic
M_tot ... 1.99 μB/cell

Unit cell a=4.315 b=9.572 c=14.278 alpha=90.00 beta=90.00 gamma=103.03
Each line ends with the local moment (μB).
Fractional coordinates of all 18 atoms:
U 0.793 0.585 0.536  1.31
U 0.207 0.415 0.036  1.31
Tl 0.872 0.744 0.817  -0.01
Tl 0.106 0.212 0.652  -0.01
Tl 0.128 0.256 0.317  -0.01
Tl 0.894 0.788 0.152  -0.01
As 0.550 0.101 0.930  -0.01
As 0.450 0.899 0.430  -0.01
Se 0.346 0.691 0.995  -0.06
Se 0.683 0.367 0.905  -0.04
Se 0.502 0.003 0.778  -0.01
Se 0.279 0.559 0.659  -0.06
Se 0.938 0.876 0.552  -0.06
Se 0.654 0.309 0.495  -0.06
Se 0.317 0.633 0.405  -0.04
Se 0.498 0.997 0.278  -0.01
Se 0.721 0.441 0.159  -0.06
Se 0.062 0.124 0.052  -0.06

---

6.
A relaxed structure of AcSm2Hg8, computed with PBE-GGA.

Computed properties:
Energy of formation from the pure elements ... -340 meV per atom
Crystal system ... orthorhombic
M_tot ... 0.00 μB/cell

Unit cell a=5.313 b=7.304 c=8.968 alpha=114.04 beta=107.23 gamma=90.00
Fractional coordinates of all 11 atoms:
Ac 0.500 0.000 0.000
Sm 0.185 0.685 0.369
Sm 0.815 0.315 0.631
Hg 0.660 0.875 0.319
Hg 0.340 0.556 0.681
Hg 0.157 0.157 0.314
Hg 0.000 0.295 0.000
Hg 0.843 0.843 0.686
Hg 0.660 0.444 0.319
Hg 0.340 0.125 0.681
Hg 0.000 0.705 0.000

---

7.
A relaxed structure of CsPdBr3, computed with PBE-GGA.

Computed properties:
E_form (uncorrected) ... -0.43 eV per atom
Crystal system ... hexagonal
M_tot ... 2.20 μB/cell

Unit cell a=5.694 b=5.694 c=10.899 alpha=90.00 beta=90.00 gamma=120.00
Each line ends with the local moment (μB).
Fractional coordinates of all 10 atoms:
Cs 0.333 0.667 0.750  0.00
Cs 0.667 0.333 0.250  0.00
Br 0.000 0.000 0.250  0.03
Br 0.000 0.000 0.750  0.03
Br 0.333 0.667 0.057  0.23
Br 0.333 0.667 0.443  0.24
Br 0.667 0.333 0.557  0.24
Br 0.667 0.333 0.943  0.24
Pd 0.000 0.000 0.000  0.45
Pd 0.000 0.000 0.500  0.45

---

8.
A relaxed structure of PuMgGa4, computed with PBE-GGA.

Computed properties:
Energy of formation from the pure elements ... -289 meV per atom
Polymorph energy (0 for the lowest one) ... 0.0 meV per atom
Crystal system ... hexagonal
M_tot ... 5.81 μB/cell

Unit cell a=4.471 b=4.471 c=6.751 alpha=90.00 beta=90.00 gamma=120.00
Each line ends with the local moment (μB).
Fractional coordinates of all 6 atoms:
Pu 0.000 0.000 0.500  5.35
Mg 0.000 0.000 0.000  0.01
Ga 0.333 0.667 0.237  0.01
Ga 0.333 0.667 0.763  0.01
Ga 0.667 0.333 0.237  0.01
Ga 0.667 0.333 0.763  0.01

---

9.
A relaxed structure of Na2LaFeH8, computed with PBE-GGA.

Computed properties:
Crystal system ... trigonal
M_tot ... 1.00 μB/cell
Electronic total energy ... -3.80 eV per atom

Unit cell a=4.758 b=4.758 c=6.308 alpha=90.00 beta=90.00 gamma=120.00
Each line ends with the local moment (μB).
Fractional coordinates of all 12 atoms:
Na 0.667 0.333 0.129  0.00
Na 0.333 0.667 0.871  0.00
La 0.000 0.000 0.500  -0.03
Fe 0.000 0.000 0.000  1.09
H 0.850 0.699 0.842  -0.01
H 0.301 0.150 0.842  -0.01
H 0.850 0.150 0.842  -0.01
H 0.150 0.301 0.158  -0.01
H 0.699 0.850 0.158  -0.01
H 0.150 0.850 0.158  -0.01
H 0.667 0.333 0.481  0.00
H 0.333 0.667 0.519  0.00

---

10.
A relaxed structure of PPtSe2, computed with PBE-GGA.

Computed properties:
E_form (uncorrected) ... 0.53 eV per atom
Crystal system ... orthorhombic
M_tot ... 0.00 μB/cell

Unit cell a=3.015 b=4.635 c=4.950 alpha=90.00 beta=90.00 gamma=90.00
Fractional coordinates of all 4 atoms:
P 0.500 0.500 0.000
Pt 0.000 0.500 0.500
Se 0.000 0.000 0.000
Se 0.500 0.000 0.500

---

11.
A relaxed structure of Mg2Ir, computed with PBE-GGA.

Computed properties:
Energy of formation from the pure elements ... -212 meV per atom
Crystal system ... tetragonal
M_tot ... 0.00 μB/cell

Unit cell a=12.128 b=12.128 c=12.128 alpha=165.26 beta=165.26 gamma=20.90
Fractional coordinates of all 6 atoms:
Mg 0.436 0.436 0.000
Mg 0.564 0.564 0.000
Mg 0.186 0.686 0.500
Mg 0.314 0.814 0.500
Ir 0.750 0.250 0.500
Ir 0.000 0.000 0.000

---

12.
A relaxed structure of ScBeCd2Se, computed with PBE-GGA.

Computed properties:
E_form (uncorrected) ... 0.57 eV per atom
Crystal system ... tetragonal
M_tot ... 0.00 μB/cell

Unit cell a=5.239 b=4.964 c=5.239 alpha=90.00 beta=90.00 gamma=90.00
Fractional coordinates of all 5 atoms:
Sc 0.000 0.500 0.000
Be 0.500 0.500 0.500
Se 0.000 0.000 0.000
Cd 0.000 0.000 0.500
Cd 0.500 0.000 0.000